## KNa2Pb2 (PBEsol)

Data for a relaxed structure of KNa2Pb2.

Cell: 9.467 9.467 3.548 Å, 90.00 90.00 90.00°
Sites, in units of the cell vectors:
K  0.000  0.000  0.000
K  0.500  0.500  0.000
Na  0.175  0.325  0.500
Na  0.325  0.825  0.500
Na  0.675  0.175  0.500
Na  0.825  0.675  0.500
Pb  0.117  0.617  0.000
Pb  0.383  0.117  0.000
Pb  0.617  0.883  0.000
Pb  0.883  0.383  0.000

total energy: -25.05 eV for the cell shown
density of states at the Fermi level: 4.47 states/eV per cell
total magnetization: 0.00 μB per formula unit
energy relative to the elements: -0.119 eV per atom